ZnInAg4, relaxed, DFT PBE; density = 9.30 g cm⁻³; E_form = -0.011 eV per atom
1.0
5.401 -0.451 0.899
2.303 4.003 -0.246
-0.443 -1.900 5.035
Zn Ag In
1 4 1
direct
0.000 0.000 0.000 Zn
0.821 0.859 0.540 Ag
0.179 0.141 0.460 Ag
0.298 0.358 0.009 Ag
0.702 0.642 0.991 Ag
0.500 0.500 0.500 In

***

Fe2TcNi6, relaxed, DFT PBE; density = 9.01 g cm⁻³; E_form = 0.033 eV per atom
1.0
2.539 0.000 0.000
-1.270 5.947 -2.817
0.000 -1.323 7.483
Ni Fe Tc
6 2 1
direct
0.331 0.662 0.499 Ni
0.999 0.998 0.165 Ni
0.001 0.002 0.835 Ni
0.666 0.332 0.166 Ni
0.334 0.668 0.834 Ni
0.669 0.338 0.501 Ni
0.670 0.341 0.840 Fe
0.330 0.659 0.160 Fe
0.000 0.000 0.500 Tc